[1]
Computed, not measured: a relaxed LaCeIr2 crystal at the PBE level of DFT.

The structure belongs to space group R-3m (No. 166, hexagonal axes); the cell edges are 4.5942, 4.5942 and 15.4993 Å and the angles 90.00°, 90.00° and 120.00°. Symmetry generates all atoms from La at (0.0000, 0.0000, 0.0000), Ce at (0.0000, 0.0000, 0.5000) and Ir at (0.0000, 0.0000, 0.2210).

The value obtained for the energy above the most stable polymorph in this dataset is 25 kJ/mol of formula units. The volume is 283.3 Å³ per cell. For the formation enthalpy at 0 K, the calculation gives -15.5 kcal/mol of atoms.


[2]
Computed, not measured: a relaxed La2CeIr crystal at the PBE level of DFT.

The structure belongs to space group Pnma (No. 62); the cell edges are 7.255, 10.065 and 6.628 Å and the angles 90.00°, 90.00° and 90.00°. Symmetry generates all atoms from La at (0.174, 0.066, 0.170), Ce at (0.040, 0.250, 0.663) and Ir at (0.132, 0.750, 0.962).

The value obtained for the energy above the most stable polymorph in this dataset is 0 kJ/mol of formula units. The volume is 484.0 Å³ per cell. For the formation enthalpy at 0 K, the calculation gives -10.3 kcal/mol of atoms.


[3]
Computed, not measured: a relaxed LaCe6Ir4 crystal at the PBE level of DFT.

The structure belongs to space group I-42m (No. 121); the cell edges are 7.583, 7.583 and 10.315 Å and the angles 90.00°, 90.00° and 90.00°. Symmetry generates all atoms from La at (0.000, 0.000, 0.000), Ce at (0.000, 0.500, 0.000), Ce at (0.152, 0.152, 0.305) and Ir at (0.215, 0.215, 0.575).

The volume is 593.2 Å³ per cell. For the formation enthalpy at 0 K, the calculation gives -11.0 kcal/mol of atoms.


[4]
Computed, not measured: a relaxed La2Ce3Ir2 crystal at the PBE level of DFT.

The structure belongs to space group C2/m (No. 12); the cell edges are 12.077, 3.904 and 8.823 Å and the angles 90.00°, 114.12° and 90.00°. Symmetry generates all atoms from La at (0.160, 0.000, 0.306), Ce at (0.000, 0.500, 0.500), Ce at (0.120, 0.500, 0.948) and Ir at (0.142, 0.000, 0.736).

The volume is 379.7 Å³ per cell. For the formation enthalpy at 0 K, the calculation gives -11.3 kcal/mol of atoms.


[5]
Computed, not measured: a relaxed LaCe5Ir5 crystal at the PBE level of DFT.

The structure belongs to space group C2/m (No. 12); the cell edges are 12.781, 5.735 and 8.149 Å and the angles 90.00°, 108.42° and 90.00°. Symmetry generates all atoms from La at (0.000, 0.000, 0.000), Ce at (0.000, 0.000, 0.500), Ce at (0.169, 0.500, 0.329), Ce at (0.173, 0.500, 0.844), Ir at (0.000, 0.500, 0.000), Ir at (0.166, 0.000, 0.820) and Ir at (0.172, 0.000, 0.349).

The volume is 566.6 Å³ per cell. For the formation enthalpy at 0 K, the calculation gives -14.7 kcal/mol of atoms.


[6]
Computed, not measured: a relaxed La3Ce4Ir4 crystal at the PBE level of DFT.

The structure belongs to space group Immm (No. 71); the cell edges are 4.643, 7.720 and 15.564 Å and the angles 90.00°, 90.00° and 90.00°. Symmetry generates all atoms from La at (0.000, 0.000, 0.000), La at (0.000, 0.500, 0.099), Ce at (0.000, 0.281, 0.335), Ir at (0.000, 0.000, 0.204) and Ir at (0.000, 0.193, 0.500).

The volume is 557.9 Å³ per cell. For the formation enthalpy at 0 K, the calculation gives -13.5 kcal/mol of atoms.


[7]
Computed, not measured: a relaxed La8CeIr6 crystal at the PBE level of DFT.

The structure belongs to space group R-3 (No. 148, hexagonal axes); the cell edges are 8.4222, 8.4222 and 19.7841 Å and the angles 90.00°, 90.00° and 120.00°. Symmetry generates all atoms from La at (0.0000, 0.0000, 0.1659), La at (0.9999, 0.3324, 0.7210), Ce at (0.0000, 0.0000, 0.5000) and Ir at (0.0006, 0.6797, 0.4438).

The volume is 1215.3 Å³ per cell. For the formation enthalpy at 0 K, the calculation gives -14.6 kcal/mol of atoms.


[8]
Computed, not measured: a relaxed La2Ce2Ir3 crystal at the PBE level of DFT.

The structure belongs to space group I2_13 (No. 199); the cell edges are 8.862, 8.862 and 8.862 Å and the angles 90.00°, 90.00° and 90.00°. Symmetry generates all atoms from La at (0.188, 0.188, 0.188), Ce at (0.057, 0.443, 0.557) and Ir at (0.000, 0.250, 0.863).

The volume is 695.9 Å³ per cell. For the formation enthalpy at 0 K, the calculation gives -15.8 kcal/mol of atoms.